The following is a DFT calculation (PBE-GGA) of a relaxed structure of Y3ErSe6.

Geometry as extended XYZ:
```
10
Lattice="3.595 2.076 6.481 -3.595 2.076 6.481 0.000 -4.152 6.481" Properties=species:S:1:pos:R:3 pbc="T T T"
Y 0.000 0.000 0.000
Y 0.000 0.000 3.804
Y 0.000 0.000 9.708
Er 0.000 0.000 13.508
Se -1.126 -2.256 8.383
Se -2.186 0.007 11.632
Se -1.391 2.103 8.383
Se 1.087 -1.896 11.632
Se 2.516 0.153 8.383
Se 1.099 1.890 11.632
```

Properties
polymorph energy (0 for the lowest one) = 0.000 eV per atom
formation energy from raw total energies = -179 kJ/mol of atoms
V = 29.02 Å³ per atom
space group = R3
total moment = 0.000 μB/atom

---

The following is a DFT calculation (PBE-GGA) of a relaxed structure of CrPbS2.

Geometry as extended XYZ:
```
8
Lattice="7.026 -1.802 0.000 7.026 1.802 0.000 -2.380 0.000 7.576" Properties=species:S:1:pos:R:3 pbc="T T T"
Cr 0.000 0.000 0.000
Cr 0.410 0.000 1.820
Pb 8.431 0.000 4.989
Pb 11.242 0.000 1.571
S 2.458 0.000 3.232
S 3.055 0.000 7.078
S 6.417 0.000 2.884
S 8.550 0.000 0.100
```

Properties
formation energy from raw total energies = -30 kJ/mol of atoms
V = 23.98 Å³ per atom
space group = Cm
total moment = 0.000 μB/atom

---

The following is a DFT calculation (PBE-GGA) of a relaxed structure of TmPd4Au.

Geometry as extended XYZ:
```
6
Lattice="0.000 3.753 3.753 3.753 0.000 3.753 3.753 3.753 0.000" Properties=species:S:1:pos:R:3 pbc="T T T"
Tm 0.000 0.000 0.000
Pd 4.690 2.817 2.817
Pd 2.817 4.690 2.817
Pd 2.817 2.817 4.690
Pd 4.690 4.690 4.690
Au 1.877 1.877 1.877
```

Properties
polymorph energy (0 for the lowest one) = 0.000 eV per atom
V = 17.63 Å³ per atom
space group = F-43m
total moment = 0.000 μB/atom

---

The following is a DFT calculation (PBE-GGA) of a relaxed structure of Sr2TaTl2O6.

Geometry as extended XYZ:
```
11
Lattice="3.142 -5.317 0.000 3.142 5.317 0.000 -1.529 0.000 6.115" Properties=species:S:1:pos:R:3 pbc="T T T"
Sr 3.142 3.574 0.000
Sr 3.142 -3.574 0.000
Ta 3.142 0.000 0.000
Tl 2.377 1.671 3.058
Tl 2.377 -1.671 3.058
O 0.727 1.471 5.052
O 1.514 0.000 1.233
O 0.727 -1.471 5.052
O 4.027 1.471 1.063
O 3.241 0.000 4.882
O 4.027 -1.471 1.063
```

Properties
formation energy from raw total energies = -203 kJ/mol of atoms
V = 18.57 Å³ per atom
space group = C2/m
total moment = 0.000 μB/atom

---

The following is a DFT calculation (PBE-GGA) of a relaxed structure of ZnNiMoIr.

Geometry as extended XYZ:
```
4
Lattice="0.000 3.038 3.038 3.038 0.000 3.038 3.038 3.038 0.000" Properties=species:S:1:pos:R:3 pbc="T T T"
Zn 0.000 0.000 0.000
Ni 1.519 1.519 1.519
Mo 3.038 3.038 3.038
Ir 4.557 4.557 4.557
```

Properties
V = 14.02 Å³ per atom
energy = -26.9 eV for the cell shown
space group = F-43m
total moment = 0.225 μB/atom

---

The following is a DFT calculation (PBE-GGA) of a relaxed structure of CuSi2Sb.

Geometry as extended XYZ:
```
4
Lattice="1.652 0.954 7.745 -1.652 0.954 7.745 0.000 -1.908 7.745" Properties=species:S:1:pos:R:3 pbc="T T T"
Cu 0.000 0.000 0.000
Si 0.000 0.000 6.248
Si 0.000 0.000 16.987
Sb 0.000 0.000 11.618
```

Properties
formation energy from raw total energies = 42 kJ/mol of atoms
V = 18.31 Å³ per atom
space group = R-3m
total moment = 0.000 μB/atom

---

The following is a DFT calculation (PBE-GGA) of a relaxed structure of Ac7SmRu3.

Geometry as extended XYZ:
```
11
Lattice="8.455 0.000 0.000 -4.227 7.322 0.000 0.000 0.000 6.783" Properties=species:S:1:pos:R:3 pbc="T T T"
Ac 0.000 0.000 0.000
Ac 0.000 2.409 3.602
Ac -2.142 6.118 3.602
Ac 4.227 0.059 0.077
Ac 2.165 3.632 0.077
Ac 2.142 6.118 3.602
Ac 6.290 3.632 0.077
Sm 4.227 2.441 3.728
Ru 2.136 1.233 5.202
Ru 6.319 1.233 5.202
Ru 4.227 4.855 5.202
```

Properties
V = 38.18 Å³ per atom
energy = -63.0 eV for the cell shown
space group = P3m1
total moment = 0.000 μB/atom

---

The following is a DFT calculation (PBE-GGA) of a relaxed structure of Al2OsSe.

Geometry as extended XYZ:
```
4
Lattice="2.858 -3.620 0.000 2.858 3.620 0.000 0.000 0.000 2.990" Properties=species:S:1:pos:R:3 pbc="T T T"
Al 1.429 1.810 0.000
Al 1.429 -1.810 0.000
Os 0.000 0.000 1.495
Se 2.858 0.000 1.495
```

Properties
formation energy from raw total energies = 1 kJ/mol of atoms
V = 15.47 Å³ per atom
space group = Cmmm
total moment = 0.000 μB/atom

---

The following is a DFT calculation (PBE-GGA) of a relaxed structure of LiUAl.

Geometry as extended XYZ:
```
6
Lattice="0.000 3.676 6.622 2.647 0.000 6.622 2.647 3.676 0.000" Properties=species:S:1:pos:R:3 pbc="T T T"
Li 2.647 1.219 6.622
Li 2.647 6.134 6.622
U 1.324 1.838 3.311
U 3.971 5.515 9.932
Al 2.647 3.676 5.337
Al 2.647 3.676 7.906
```

Properties
V = 21.48 Å³ per atom
energy = -31.8 eV for the cell shown
space group = Fmmm
total moment = 0.947 μB/atom

---

The following is a DFT calculation (PBE-GGA) of a relaxed structure of AcY2Pb.

Geometry as extended XYZ:
```
4
Lattice="3.917 0.000 0.000 0.000 3.917 0.000 0.000 0.000 8.664" Properties=species:S:1:pos:R:3 pbc="T T T"
Ac 0.000 0.000 0.000
Y 1.958 1.958 2.523
Y 1.958 1.958 6.141
Pb 0.000 0.000 4.332
```

Properties
polymorph energy (0 for the lowest one) = 0.024 eV per atom
V = 33.23 Å³ per atom
space group = P4/mmm
total moment = 0.001 μB/atom

---

The following is a DFT calculation (PBE-GGA) of a relaxed structure of Ca2AlI.

Geometry as extended XYZ:
```
4
Lattice="3.756 0.000 0.000 0.000 3.756 0.000 0.000 0.000 8.630" Properties=species:S:1:pos:R:3 pbc="T T T"
Ca 0.000 0.000 1.912
Ca 0.000 0.000 6.719
Al 1.878 1.878 0.000
I 1.878 1.878 4.315
```

Properties
polymorph energy (0 for the lowest one) = 0.021 eV per atom
formation energy from raw total energies = -55 kJ/mol of atoms
V = 30.43 Å³ per atom
space group = P4/mmm
total moment = 0.000 μB/atom

---

The following is a DFT calculation (PBE-GGA) of a relaxed structure of ZrBRu3.

Geometry as extended XYZ:
```
10
Lattice="4.649 0.000 0.000 0.000 6.496 0.000 -0.887 0.000 4.790" Properties=species:S:1:pos:R:3 pbc="T T T"
Zr 0.313 1.624 1.797
Zr 3.448 4.872 2.993
B 0.737 1.624 4.405
B 3.024 4.872 0.386
Ru 0.628 4.872 0.949
Ru 1.136 3.550 3.575
Ru 1.136 6.194 3.575
Ru 2.625 0.302 1.215
Ru 2.625 2.946 1.215
Ru 3.133 1.624 3.842
```

Properties
V = 14.46 Å³ per atom
energy = -87.1 eV for the cell shown
space group = P2_1/m
total moment = 0.000 μB/atom

---

> What is the V in the fifth record?

14.02 Å³ per atom

---

> Look up the total moment of the seventh one.

0.000 μB/atom